1.
## CaCd2 (SCAN)

Data for a PBEsol-optimized structure of CaCd2.

a = 5.8941 Å, b = 5.8941 Å, c = 5.8941 Å
α = 60.00°, β = 60.00°, γ = 60.00°
Fractional positions:
Ca (0.7500, 0.7500, 0.7500)
Cd (0.1250, 0.1250, 0.6250)
Ca (0.5000, 0.5000, 0.5000)
Cd (0.1250, 0.6250, 0.1250)
Cd (0.1250, 0.1250, 0.1250)
Cd (0.6250, 0.1250, 0.1250)

ΔE_f, eV per atom: -0.401


2.
## ZnCoMo4 (SCAN)

Data for a PBEsol-optimized structure of ZnCoMo4.

a = 5.0674 Å, b = 5.0674 Å, c = 5.0674 Å
α = 60.00°, β = 60.00°, γ = 60.00°
Fractional positions:
Zn (0.2500, 0.2500, 0.2500)
Co (0.0000, 0.0000, 0.0000)
Mo (0.6242, 0.6242, 0.6242)
Mo (0.6242, 0.1275, 0.6242)
Mo (0.1275, 0.6242, 0.6242)
Mo (0.6242, 0.6242, 0.1275)

ΔE_f, eV per atom: 0.663


3.
## Ca7HfN6 (SCAN)

Data for a PBEsol-optimized structure of Ca7HfN6.

a = 6.3189 Å, b = 9.2269 Å, c = 9.2269 Å
α = 78.24°, β = 69.98°, γ = 69.98°
Fractional positions:
Hf (0.2500, 0.7500, 0.7500)
N (0.3812, 0.1570, 0.8430)
Hf (0.7500, 0.2500, 0.2500)
Ca (0.7631, 0.8950, 0.3490)
Ca (0.5070, 0.6050, 0.1510)
Ca (0.4930, 0.3950, 0.8490)
Ca (0.2500, 0.2500, 0.2500)
Ca (0.7369, 0.1510, 0.6050)
N (0.1297, 0.5637, 0.7800)
Ca (0.9930, 0.3490, 0.8950)
N (0.9734, 0.9363, 0.7200)
Ca (0.2369, 0.1050, 0.6510)
N (0.8703, 0.4363, 0.2200)
N (0.3703, 0.7200, 0.9363)
N (0.4734, 0.2200, 0.4363)
Ca (0.0070, 0.6510, 0.1050)
Ca (0.7195, 0.0427, 0.9573)
Ca (0.7500, 0.7500, 0.7500)
N (0.6188, 0.8430, 0.1570)
N (0.6297, 0.2800, 0.0637)
Ca (0.2805, 0.9573, 0.0427)
N (0.0266, 0.0637, 0.2800)
N (0.5266, 0.7800, 0.5637)
Ca (0.2631, 0.8490, 0.3950)
N (0.8812, 0.3430, 0.6570)
N (0.1188, 0.6570, 0.3430)
Ca (0.7805, 0.5427, 0.4573)
Ca (0.2195, 0.4573, 0.5427)

Uncorrected formation energy, eV per atom: -1.191


4.
## KRuPt2 (SCAN)

Data for a PBEsol-optimized structure of KRuPt2.

a = 4.0969 Å, b = 4.0969 Å, c = 4.8899 Å
α = 114.77°, β = 114.77°, γ = 90.00°
Fractional positions:
Pt (0.7500, 0.2500, 0.5000)
Pt (0.0000, 0.0000, 0.0000)
K (0.2500, 0.7500, 0.5000)
Ru (0.5000, 0.5000, 0.0000)

ΔE_f, eV per atom: 0.881
Energy above the most stable polymorph in this dataset, eV/atom: 0.5289


| no. | calculated total energy (eV/cell) |
| --- | --- |
| 1 | -143.393 |
| 2 | -166.382 |
| 3 | -405.488 |
| 4 | -180.018 |